The following is a GGA-PBE calculation of an optimized crystal structure of Ca3BiPt8, from Alexandria.

## Properties
Total DFT energy (no corrections) in eV per atom: -5.605
Crystal system: trigonal

The structure in CIF format:
```
data_Ca3BiPt8
_chemical_formula_sum 'Ca9 Bi3 Pt24'
_cell_length_a 5.4773
_cell_length_b 5.4773
_cell_length_c 26.6410
_cell_angle_alpha 90.00
_cell_angle_beta 90.00
_cell_angle_gamma 120.00
_symmetry_space_group_name_H-M 'R 3 m'
_symmetry_Int_Tables_number 160
_symmetry_space_group_name_Hall 'R 3 -2"'
loop_
_atom_site_label
_atom_site_type_symbol
_atom_site_fract_x
_atom_site_fract_y
_atom_site_fract_z
Ca1 Ca 0.0000 0.0000 0.0000
Ca2 Ca 0.0000 0.0000 0.1268
Ca3 Ca 0.0000 0.0000 0.6214
Bi1 Bi 0.0000 0.0000 0.4932
Pt1 Pt 0.0000 0.0000 0.3132
Pt2 Pt 0.0000 0.0000 0.8136
Pt3 Pt 0.9996 0.4998 0.5640
Pt4 Pt 0.1677 0.3354 0.3954
```

The following is a GGA-PBE calculation of an optimized crystal structure of LaPm3Y, from Alexandria.

## Properties
Crystal system: monoclinic
Relative energy among the computed polymorphs in meV/atom: 0.0

The structure in CIF format:
```
data_LaPm3Y
_chemical_formula_sum 'La4 Pm12 Y4'
_cell_length_a 22.5326
_cell_length_b 3.6969
_cell_length_c 8.7047
_cell_angle_alpha 90.00
_cell_angle_beta 105.80
_cell_angle_gamma 90.00
_symmetry_space_group_name_H-M 'C 1 2/m 1'
_symmetry_Int_Tables_number 12
loop_
_symmetry_equiv_pos_as_xyz
'x,y,z'
'-x,-y,-z'
'-x,y,-z'
'x,-y,z'
'x+1/2,y+1/2,z'
'-x+1/2,-y+1/2,-z'
'-x+1/2,y+1/2,-z'
'x+1/2,-y+1/2,z'
loop_
_atom_site_label
_atom_site_type_symbol
_atom_site_fract_x
_atom_site_fract_y
_atom_site_fract_z
La1 La 0.0845 0.0000 0.0876
Pm1 Pm 0.0165 0.5000 0.7134
Pm2 Pm 0.1179 0.0000 0.5196
Pm3 Pm 0.1848 0.5000 0.8838
Y1 Y 0.2184 0.5000 0.3218
```

The following is a GGA-PBE calculation of an optimized crystal structure of NdYHg, from Alexandria.

## Properties
Crystal system: hexagonal
Relative energy among the computed polymorphs in meV/atom: 59.8

The structure in CIF format:
```
data_NdYHg
_chemical_formula_sum 'Nd3 Y3 Hg3'
_cell_length_a 8.9571
_cell_length_b 8.9571
_cell_length_c 3.8049
_cell_angle_alpha 90.00
_cell_angle_beta 90.00
_cell_angle_gamma 120.00
_symmetry_space_group_name_H-M 'P -6 2 m'
_symmetry_Int_Tables_number 189
_symmetry_space_group_name_Hall 'P -6 -2'
loop_
_atom_site_label
_atom_site_type_symbol
_atom_site_fract_x
_atom_site_fract_y
_atom_site_fract_z
Nd1 Nd 0.0000 0.6066 0.0000
Y1 Y 0.0000 0.2728 0.5000
Hg1 Hg 0.0000 0.0000 0.0000
Hg2 Hg 0.3333 0.6667 0.5000
```

The following is a GGA-PBE calculation of an optimized crystal structure of Pr3Cd2Hg, from Alexandria.

## Properties
Total DFT energy (no corrections) in eV per atom: -3.113
Crystal system: tetragonal

The structure in CIF format:
```
data_Pr3Cd2Hg
_chemical_formula_sum 'Pr3 Cd2 Hg1'
_cell_length_a 3.8762
_cell_length_b 3.8762
_cell_length_c 11.6488
_cell_angle_alpha 90.00
_cell_angle_beta 90.00
_cell_angle_gamma 90.00
_symmetry_space_group_name_H-M 'P 4/m m m'
_symmetry_Int_Tables_number 123
_symmetry_space_group_name_Hall '-P 4 2'
loop_
_atom_site_label
_atom_site_type_symbol
_atom_site_fract_x
_atom_site_fract_y
_atom_site_fract_z
Pr1 Pr 0.0000 0.0000 0.0000
Pr2 Pr 0.0000 0.0000 0.3352
Cd1 Cd 0.5000 0.5000 0.1653
Hg1 Hg 0.5000 0.5000 0.5000
```

The following is a GGA-PBE calculation of an optimized crystal structure of Ca2CeYTe4, from Alexandria.

## Properties
E_form (uncorrected) in eV per formula unit: -11.70
Crystal system: monoclinic

The structure in CIF format:
```
data_Ca2CeYTe4
_chemical_formula_sum 'Ca2 Ce1 Y1 Te4'
_cell_length_a 7.6774
_cell_length_b 4.4337
_cell_length_c 7.8532
_cell_angle_alpha 90.00
_cell_angle_beta 109.03
_cell_angle_gamma 90.00
_symmetry_space_group_name_H-M 'P 1 2/m 1'
_symmetry_Int_Tables_number 10
loop_
_symmetry_equiv_pos_as_xyz
'x,y,z'
'-x,-y,-z'
'-x,y,-z'
'x,-y,z'
loop_
_atom_site_label
_atom_site_type_symbol
_atom_site_fract_x
_atom_site_fract_y
_atom_site_fract_z
Ca1 Ca 0.0000 0.0000 0.0000
Ca2 Ca 0.5000 0.5000 0.0000
Ce1 Ce 0.0000 0.5000 0.5000
Y1 Y 0.5000 0.0000 0.5000
Te1 Te 0.2560 0.5000 0.2515
Te2 Te 0.2566 0.0000 0.7530
```

The following is a GGA-PBE calculation of an optimized crystal structure of V11Ru9Rh4, from Alexandria.

## Properties
Total DFT energy (no corrections) in eV per atom: -9.131
Crystal system: orthorhombic

The structure in CIF format:
```
data_V11Ru9Rh4
_chemical_formula_sum 'V22 Ru18 Rh8'
_cell_length_a 13.4317
_cell_length_b 17.0233
_cell_length_c 2.9124
_cell_angle_alpha 90.00
_cell_angle_beta 90.00
_cell_angle_gamma 90.00
_symmetry_space_group_name_H-M 'C m m m'
_symmetry_Int_Tables_number 65
_symmetry_space_group_name_Hall '-C 2 2'
loop_
_atom_site_label
_atom_site_type_symbol
_atom_site_fract_x
_atom_site_fract_y
_atom_site_fract_z
V1 V 0.0000 0.0000 0.0000
V2 V 0.0000 0.1826 0.0000
V3 V 0.0000 0.3729 0.0000
V4 V 0.2183 0.0000 0.0000
V5 V 0.2376 0.1814 0.0000
Ru1 Ru 0.0000 0.5000 0.5000
Ru2 Ru 0.1081 0.2656 0.5000
Ru3 Ru 0.1103 0.0908 0.5000
Rh1 Rh 0.1662 0.4194 0.5000
```

The following is a GGA-PBE calculation of an optimized crystal structure of ZrTi3Sb2, from Alexandria.

## Properties
E_form (uncorrected) in eV per formula unit: -2.30
Crystal system: monoclinic
Relative energy among the computed polymorphs in meV/atom: 78.1

The structure in CIF format:
```
data_ZrTi3Sb2
_chemical_formula_sum 'Zr4 Ti12 Sb8'
_cell_length_a 16.8083
_cell_length_b 3.7344
_cell_length_c 8.5132
_cell_angle_alpha 90.00
_cell_angle_beta 114.57
_cell_angle_gamma 90.00
_symmetry_space_group_name_H-M 'C 1 2/m 1'
_symmetry_Int_Tables_number 12
loop_
_symmetry_equiv_pos_as_xyz
'x,y,z'
'-x,-y,-z'
'-x,y,-z'
'x,-y,z'
'x+1/2,y+1/2,z'
'-x+1/2,-y+1/2,-z'
'-x+1/2,y+1/2,-z'
'x+1/2,-y+1/2,z'
loop_
_atom_site_label
_atom_site_type_symbol
_atom_site_fract_x
_atom_site_fract_y
_atom_site_fract_z
Zr1 Zr 0.1115 0.0000 0.1125
Ti1 Ti 0.0623 0.0000 0.6503
Ti2 Ti 0.1508 0.5000 0.4751
Ti3 Ti 0.1856 0.5000 0.8997
Sb1 Sb 0.0075 0.5000 0.8187
Sb2 Sb 0.2439 0.0000 0.7243
```

The following is a GGA-PBE calculation of an optimized crystal structure of ErThNi3, from Alexandria.

## Properties
Total DFT energy (no corrections) in eV per atom: -6.320
Crystal system: orthorhombic

The structure in CIF format:
```
data_ErThNi3
_chemical_formula_sum 'Er4 Th4 Ni12'
_cell_length_a 3.8402
_cell_length_b 24.8571
_cell_length_c 3.9536
_cell_angle_alpha 90.00
_cell_angle_beta 90.00
_cell_angle_gamma 90.00
_symmetry_space_group_name_H-M 'C m c m'
_symmetry_Int_Tables_number 63
_symmetry_space_group_name_Hall '-C 2c 2'
loop_
_atom_site_label
_atom_site_type_symbol
_atom_site_fract_x
_atom_site_fract_y
_atom_site_fract_z
Er1 Er 0.0000 0.2050 0.2500
Th1 Th 0.0000 0.0722 0.7500
Ni1 Ni 0.0000 0.3220 0.2500
Ni2 Ni 0.0000 0.3774 0.7500
Ni3 Ni 0.0000 0.4731 0.7500
```

Ordered calculated volume results: 19.227, 34.885, 29.374, 29.170, 31.589, 13.873, 20.250, 18.870; unit Å³/atom.